Below is crystalline Sc2MnAl5Tc2 at its relaxed geometry, with properties calculated at the PBE level.

abc: 10.0224 10.0224 3.3758
angles: 90.00 90.00 90.00
Space group P4/mbm (No. 127)
Unique sites:
Sc1 0.1832 0.3168 0.0000 [4 per cell]
Mn1 0.0000 0.0000 0.0000 [2 per cell]
Al1 0.0000 0.5000 0.5000 [2 per cell]
Al2 0.0522 0.8065 0.5000 [8 per cell]
Tc1 0.1302 0.6302 0.0000 [4 per cell]

## Properties
The density of states at the Fermi level is 15.4 states/eV per cell. As for the energy: -6.36 eV per atom. Its energy of formation is -23 kJ per mole of atoms.